Entry 1:
{"formula": "AcPm2N", "functional": "PBE", "state": "optimized geometry", "total_magnetization_mub_per_cell": 0.00, "density_g_cm3": 7.83, "dos_at_fermi_per_ev_atom": 0.93, "e_above_lowest_polymorph_ev_per_atom": 0.000, "raw_formation_energy_mev_per_atom": -628, "lattice_angstrom": [[3.6990, 0.0000, 0.0000], [1.8495, 3.2034, 0.0000], [1.8495, 1.0678, 9.5081]], "species": ["N", "Ac", "Pm", "Pm"], "frac_coords": [[0.0000, 0.0000, 0.0000], [0.5000, 0.5000, 0.5000], [0.2853, 0.2853, 0.1441], [0.7147, 0.7147, 0.8559]]}

Entry 2:
{"formula": "Ce5InSnGe2", "functional": "PBE", "state": "optimized geometry", "total_magnetization_mub_per_cell": 9.72, "density_g_cm3": 7.28, "dos_at_fermi_per_ev_atom": 2.60, "formation_energy_ev_per_atom": -0.46, "lattice_angstrom": [[-0.5939, -7.8089, -0.2332], [7.1796, -0.6378, 3.0712], [-6.4466, 4.2429, 5.9577]], "species": ["Ce", "Ce", "Ce", "Sn", "In", "Ce", "Ge", "Ce", "Ge", "Sn", "Ce", "In", "Ge", "Ce", "Ce", "Ge", "Ce", "Ce"], "frac_coords": [[0.6704, 0.1704, 0.7448], [0.0744, 0.5744, 0.7448], [0.3296, 0.8296, 0.2552], [0.7500, 0.7500, 0.5000], [0.7500, 0.2500, 0.5000], [0.8296, 0.9256, 0.2552], [0.3881, 0.8881, 0.0000], [0.9256, 0.4256, 0.2552], [0.8881, 0.6119, 0.0000], [0.2500, 0.2500, 0.5000], [0.0000, 0.0000, 0.0000], [0.2500, 0.7500, 0.5000], [0.6119, 0.1119, 0.0000], [0.5000, 0.5000, 0.0000], [0.1704, 0.0744, 0.7448], [0.1119, 0.3881, 0.0000], [0.4256, 0.3296, 0.2552], [0.5744, 0.6704, 0.7448]]}

Entry 3:
{"formula": "Y2TlIr", "functional": "PBE", "state": "optimized geometry", "total_magnetization_mub_per_cell": 0.74, "density_g_cm3": 8.47, "dos_at_fermi_per_ev_atom": 1.20, "formation_energy_ev_per_atom": 0.00, "e_above_lowest_polymorph_ev_per_atom": 0.605, "lattice_angstrom": [[9.0509, 0.0171, 0.0102], [8.2247, 3.7779, 0.0102], [8.2247, 1.8068, 3.3179]], "species": ["Ir", "Y", "Tl", "Y"], "frac_coords": [[0.4969, 0.4969, 0.4969], [0.0104, 0.0104, 0.0104], [0.7674, 0.7674, 0.7674], [0.2253, 0.2253, 0.2253]]}

Entry 4:
{"formula": "Ca2Ag5Hg4", "functional": "PBE", "state": "optimized geometry", "total_magnetization_mub_per_cell": 0.00, "density_g_cm3": 8.90, "dos_at_fermi_per_ev_atom": 0.50, "formation_energy_ev_per_atom": -0.16, "lattice_angstrom": [[-2.0398, 4.6556, -2.8672], [-5.1736, 2.0187, 1.0196], [2.4921, 7.9663, 5.2233]], "species": ["Hg", "Ag", "Hg", "Ag", "Ag", "Hg", "Hg", "Ag", "Ag", "Ca", "Ca"], "frac_coords": [[0.5298, 0.6812, 0.2592], [0.2500, 0.5000, 0.5000], [0.2110, 0.3188, 0.2592], [0.0000, 0.5000, 0.0000], [0.7500, 0.5000, 0.5000], [0.7890, 0.6812, 0.7408], [0.4702, 0.3188, 0.7408], [0.5000, 0.0000, 0.0000], [0.5000, 0.5000, 0.0000], [0.1227, 0.0000, 0.7546], [0.8773, 0.0000, 0.2454]]}

Entry 5:
{"formula": "KRbN2O", "functional": "PBE", "state": "optimized geometry", "total_magnetization_mub_per_cell": 6.00, "density_g_cm3": 2.05, "dos_at_fermi_per_ev_atom": 0.93, "raw_formation_energy_mev_per_atom": 1394, "lattice_angstrom": [[-5.1832, 0.7692, 0.6243], [-0.7869, -1.1762, -5.0837], [-0.5602, -4.7339, 1.1820]], "species": ["K", "N", "O", "N", "Rb"], "frac_coords": [[0.0000, 0.0000, 0.0000], [0.5000, 0.0000, 0.0000], [0.0000, 0.0000, 0.5000], [0.0000, 0.5000, 0.0000], [0.5000, 0.5000, 0.5000]]}

Entry 6:
{"formula": "Ba2NdTc2N6", "functional": "PBE", "state": "optimized geometry", "total_magnetization_mub_per_cell": 0.00, "density_g_cm3": 5.56, "dos_at_fermi_per_ev_atom": 0.36, "raw_formation_energy_mev_per_atom": -623, "lattice_angstrom": [[6.2349, 0.0000, 0.0000], [-3.1175, 5.4453, -0.3857], [0.0000, -3.5669, 6.3956]], "species": ["N", "Ba", "N", "Nd", "N", "N", "Ba", "Tc", "N", "N", "Tc"], "frac_coords": [[0.1870, 0.8979, 0.2184], [0.7153, 0.4305, 0.1909], [0.8130, 0.1021, 0.7816], [0.5000, 0.0000, 0.5000], [0.7110, 0.8979, 0.2184], [0.2890, 0.1021, 0.7816], [0.2847, 0.5695, 0.8091], [0.0362, 0.0725, 0.1999], [0.7681, 0.5362, 0.6408], [0.2319, 0.4638, 0.3592], [0.9638, 0.9275, 0.8001]]}

Entry 7:
{"formula": "Ti3GeSe", "functional": "PBE", "state": "optimized geometry", "total_magnetization_mub_per_cell": 0.01, "density_g_cm3": 4.86, "dos_at_fermi_per_ev_atom": 1.60, "e_above_lowest_polymorph_ev_per_atom": 0.000, "raw_formation_energy_mev_per_atom": 117, "lattice_angstrom": [[4.6543, 0.0000, 0.0000], [0.0000, 4.6543, 0.0000], [0.0000, 0.0000, 4.6543]], "species": ["Ti", "Ti", "Ti", "Ge", "Se"], "frac_coords": [[0.5000, 0.0000, 0.0000], [0.0000, 0.0000, 0.5000], [0.0000, 0.5000, 0.0000], [0.5000, 0.5000, 0.5000], [0.0000, 0.0000, 0.0000]]}

Entry 8:
{"formula": "Cr2InPAu", "functional": "PBE", "state": "optimized geometry", "total_magnetization_mub_per_cell": 8.54, "density_g_cm3": 5.77, "dos_at_fermi_per_ev_atom": 0.87, "formation_energy_ev_per_atom": 1.07, "lattice_angstrom": [[5.0423, 0.0000, 0.0000], [0.0000, 5.0539, 0.0000], [0.0000, 0.0000, 5.0423]], "species": ["Au", "P", "In", "Cr", "Cr"], "frac_coords": [[0.0000, 0.0000, 0.0000], [0.5000, 0.5000, 0.5000], [0.0000, 0.5000, 0.0000], [0.0000, 0.0000, 0.5000], [0.5000, 0.0000, 0.0000]]}

Entry 9:
{"formula": "Ca2LaFe", "functional": "PBE", "state": "optimized geometry", "total_magnetization_mub_per_cell": 1.36, "density_g_cm3": 3.59, "dos_at_fermi_per_ev_atom": 1.42, "formation_energy_ev_per_atom": 0.28, "e_above_lowest_polymorph_ev_per_atom": 0.064, "lattice_angstrom": [[-5.7313, 0.6106, -6.5924], [-7.6833, -0.7522, -4.1330], [-2.0100, 3.9532, 0.5950]], "species": ["Fe", "La", "Ca", "Ca"], "frac_coords": [[0.7500, 0.7500, 0.7500], [0.2500, 0.2500, 0.2500], [0.0847, 0.0847, 0.9153], [0.4153, 0.4153, 0.5847]]}

Entry 10:
{"formula": "Sc2ReTc", "functional": "PBE", "state": "optimized geometry", "total_magnetization_mub_per_cell": 0.00, "density_g_cm3": 9.06, "dos_at_fermi_per_ev_atom": 1.70, "formation_energy_ev_per_atom": 0.07, "e_above_lowest_polymorph_ev_per_atom": 0.226, "lattice_angstrom": [[-0.3050, -1.6534, 4.2533], [2.9535, -3.3177, -1.0893], [2.4945, 1.9173, 0.9242]], "species": ["Sc", "Tc", "Re", "Sc"], "frac_coords": [[0.5000, 0.5000, 0.0000], [0.5000, 0.0000, 0.5000], [0.0000, 0.5000, 0.5000], [0.0000, 0.0000, 0.0000]]}

Entry 11:
{"formula": "SiP2Rh", "functional": "PBE", "state": "optimized geometry", "total_magnetization_mub_per_cell": 0.00, "density_g_cm3": 5.71, "dos_at_fermi_per_ev_atom": 0.39, "raw_formation_energy_mev_per_atom": 241, "lattice_angstrom": [[-0.8975, 3.8968, -2.0320], [-4.2797, -0.6005, -1.2012], [1.7379, -0.5500, 4.0984]], "species": ["Si", "Rh", "P", "P"], "frac_coords": [[0.7500, 0.2500, 0.5000], [0.5000, 0.5000, 0.0000], [0.2500, 0.7500, 0.5000], [0.0000, 0.0000, 0.0000]]}

Entry 12:
{"formula": "Dy3SbSe2", "functional": "PBE", "state": "optimized geometry", "total_magnetization_mub_per_cell": 0.00, "density_g_cm3": 8.19, "dos_at_fermi_per_ev_atom": 0.36, "e_above_lowest_polymorph_ev_per_atom": 0.000, "raw_formation_energy_mev_per_atom": -1547, "lattice_angstrom": [[4.1861, 0.0000, 0.0000], [0.0000, 5.9334, 0.0000], [-2.0931, -2.9667, 6.2631]], "species": ["Se", "Sb", "Dy", "Se", "Dy", "Dy"], "frac_coords": [[0.1645, 0.1645, 0.8289], [0.5000, 0.5000, 0.5000], [0.5000, 0.0000, 0.5000], [0.8355, 0.8355, 0.1711], [0.8255, 0.3255, 0.1510], [0.1745, 0.6745, 0.8490]]}

Entry 13:
{"formula": "Cu2Si2Pt", "functional": "PBE", "state": "optimized geometry", "total_magnetization_mub_per_cell": 0.00, "density_g_cm3": 8.91, "dos_at_fermi_per_ev_atom": 0.36, "e_above_lowest_polymorph_ev_per_atom": 0.248, "raw_formation_energy_mev_per_atom": 82, "lattice_angstrom": [[-0.1078, -6.2537, 0.4902], [-4.0183, -4.0656, 2.5855], [0.8337, 5.0129, -3.6791]], "species": ["Cu", "Pt", "Si", "Si", "Cu"], "frac_coords": [[0.7500, 0.2500, 0.5000], [0.0000, 0.0000, 0.0000], [0.5990, 0.5990, 0.0000], [0.4010, 0.4010, 0.0000], [0.2500, 0.7500, 0.5000]]}

Entry 14:
{"formula": "Er2ThZn3", "functional": "PBE", "state": "optimized geometry", "total_magnetization_mub_per_cell": 0.00, "density_g_cm3": 9.13, "dos_at_fermi_per_ev_atom": 1.16, "formation_energy_ev_per_atom": -0.28, "e_above_lowest_polymorph_ev_per_atom": 0.008, "lattice_angstrom": [[-0.2168, 4.8558, 1.4843], [-0.6433, -3.7262, 3.3956], [6.1024, -0.0607, 1.0896]], "species": ["Zn", "Er", "Er", "Th", "Zn", "Zn"], "frac_coords": [[0.6667, 0.3333, 0.8340], [0.6667, 0.3333, 0.3412], [0.3333, 0.6667, 0.6588], [0.0000, 0.0000, 0.0000], [0.0000, 0.0000, 0.5000], [0.3333, 0.6667, 0.1660]]}

Entry 15:
{"formula": "KNaOsI2", "functional": "PBE", "state": "optimized geometry", "total_magnetization_mub_per_cell": 0.85, "density_g_cm3": 4.70, "dos_at_fermi_per_ev_atom": 0.80, "raw_formation_energy_mev_per_atom": 441, "lattice_angstrom": [[5.4649, 0.0000, 0.0000], [0.0000, 5.9842, 0.0000], [0.0000, 0.0000, 5.4649]], "species": ["Na", "I", "I", "Os", "K"], "frac_coords": [[0.5000, 0.5000, 0.5000], [0.0000, 0.0000, 0.5000], [0.5000, 0.0000, 0.0000], [0.0000, 0.0000, 0.0000], [0.0000, 0.5000, 0.0000]]}

Entry 16:
{"formula": "Mn2CuMoN", "functional": "PBE", "state": "optimized geometry", "total_magnetization_mub_per_cell": 2.71, "density_g_cm3": 8.07, "dos_at_fermi_per_ev_atom": 1.01, "e_above_lowest_polymorph_ev_per_atom": 0.000, "raw_formation_energy_mev_per_atom": -37, "lattice_angstrom": [[3.7809, 0.0000, 0.0000], [0.0000, 3.7809, 0.0000], [0.0000, 0.0000, 4.0793]], "species": ["N", "Mn", "Cu", "Mn", "Mo"], "frac_coords": [[0.0000, 0.0000, 0.0000], [0.5000, 0.0000, 0.0000], [0.5000, 0.5000, 0.5000], [0.0000, 0.5000, 0.0000], [0.0000, 0.0000, 0.5000]]}

Entry 17:
{"formula": "Te6Mo2W", "functional": "PBE", "state": "optimized geometry", "total_magnetization_mub_per_cell": 0.00, "density_g_cm3": 8.59, "dos_at_fermi_per_ev_atom": 0.77, "e_above_lowest_polymorph_ev_per_atom": 0.376, "raw_formation_energy_mev_per_atom": 162, "lattice_angstrom": [[-4.5750, 2.4902, -3.8810], [-4.4420, -1.0149, 7.0253], [2.9359, 7.0243, 3.4864]], "species": ["W", "Mo", "Te", "Mo", "Te", "Te", "W", "Te", "Te", "Mo", "Te", "Mo", "Te", "Te", "Te", "Te", "Te", "Te"], "frac_coords": [[0.2500, 0.0584, 0.9416], [0.8590, 0.8248, 0.7014], [0.5290, 0.6246, 0.1350], [0.6410, 0.2986, 0.1752], [0.9838, 0.5320, 0.6772], [0.0411, 0.7500, 0.0021], [0.7500, 0.9416, 0.0584], [0.9589, 0.2500, 0.9979], [0.4710, 0.3754, 0.8650], [0.3590, 0.7014, 0.8248], [0.5411, 0.0021, 0.7500], [0.1410, 0.1752, 0.2986], [0.5162, 0.3228, 0.4680], [0.0290, 0.1350, 0.6246], [0.9710, 0.8650, 0.3754], [0.4589, 0.9979, 0.2500], [0.0162, 0.4680, 0.3228], [0.4838, 0.6772, 0.5320]]}

Entry 18:
{"formula": "FeTeMoH", "functional": "PBE", "state": "optimized geometry", "total_magnetization_mub_per_cell": 1.48, "density_g_cm3": 8.13, "dos_at_fermi_per_ev_atom": 0.62, "e_above_lowest_polymorph_ev_per_atom": 0.073, "lattice_angstrom": [[-2.2436, 2.2407, 0.3895], [-1.6889, -1.2508, -2.5324], [-2.6875, -3.2845, 3.4147]], "species": ["H", "Fe", "Mo", "Te"], "frac_coords": [[0.0000, 0.0000, 0.0141], [0.5000, 0.0000, 0.3944], [0.0000, 0.5000, 0.1534], [0.5000, 0.5000, 0.7466]]}

Entry 19:
{"formula": "RbPr2Cr2N6", "functional": "PBE", "state": "optimized geometry", "total_magnetization_mub_per_cell": 0.95, "density_g_cm3": 4.07, "dos_at_fermi_per_ev_atom": 0.30, "raw_formation_energy_mev_per_atom": -510, "lattice_angstrom": [[6.8303, 0.0015, 0.0034], [3.4104, 5.6005, -0.2862], [0.0007, -3.3949, 6.0962]], "species": ["N", "N", "Cr", "Pr", "N", "Pr", "N", "N", "N", "Cr", "Rb"], "frac_coords": [[0.9856, 0.6268, 0.8628], [0.6123, 0.3719, 0.1364], [0.8825, 0.2343, 0.1840], [0.1836, 0.6327, 0.2006], [0.0144, 0.3732, 0.1372], [0.8164, 0.3673, 0.7994], [0.9209, 0.1572, 0.3907], [0.0791, 0.8428, 0.6093], [0.3877, 0.6281, 0.8636], [0.1175, 0.7657, 0.8160], [0.5000, 0.0000, 0.5000]]}

Entry 20:
{"formula": "CaMg2", "functional": "PBE", "state": "optimized geometry", "total_magnetization_mub_per_cell": 0.00, "density_g_cm3": 1.74, "dos_at_fermi_per_ev_atom": 0.82, "formation_energy_ev_per_atom": -0.11, "lattice_angstrom": [[-2.2549, -0.8065, -5.7711], [1.1580, -4.9566, 3.6226], [-9.3582, 0.4410, 3.5948]], "species": ["Mg", "Ca", "Mg", "Mg", "Ca", "Ca", "Mg", "Mg", "Ca", "Mg", "Mg", "Mg"], "frac_coords": [[0.8308, 0.1691, 0.7500], [0.3333, 0.6666, 0.5619], [0.3383, 0.1691, 0.7500], [0.8309, 0.6618, 0.7500], [0.6667, 0.3334, 0.4381], [0.6667, 0.3334, 0.0619], [0.6617, 0.8309, 0.2500], [0.0000, 0.0000, 0.0000], [0.3333, 0.6666, 0.9381], [0.1692, 0.8309, 0.2500], [0.0000, 0.0000, 0.5000], [0.1691, 0.3382, 0.2500]]}

Entry 21:
{"formula": "CeGa2Ag4", "functional": "PBE", "state": "optimized geometry", "total_magnetization_mub_per_cell": 0.95, "density_g_cm3": 8.46, "dos_at_fermi_per_ev_atom": 1.12, "formation_energy_ev_per_atom": -0.18, "e_above_lowest_polymorph_ev_per_atom": 0.040, "lattice_angstrom": [[4.5861, 0.0000, 0.0000], [2.2931, 3.9717, 0.0000], [2.2931, 1.3239, 7.6584]], "species": ["Ga", "Ag", "Ag", "Ga", "Ag", "Ce", "Ag"], "frac_coords": [[0.2624, 0.2624, 0.2129], [0.5711, 0.5711, 0.2866], [0.8573, 0.8573, 0.4281], [0.7376, 0.7376, 0.7871], [0.4289, 0.4289, 0.7134], [0.0000, 0.0000, 0.0000], [0.1427, 0.1427, 0.5719]]}

Entry 22:
{"formula": "Pr3AlNi4", "functional": "PBE", "state": "optimized geometry", "total_magnetization_mub_per_cell": 0.00, "density_g_cm3": 6.60, "dos_at_fermi_per_ev_atom": 0.68, "formation_energy_ev_per_atom": -0.26, "lattice_angstrom": [[4.2702, 0.0000, 0.0000], [0.0000, 5.2654, 0.0000], [-2.1351, -2.6327, 7.6629]], "species": ["Pr", "Ni", "Ni", "Ni", "Pr", "Ni", "Pr", "Al"], "frac_coords": [[0.8069, 0.8069, 0.6138], [0.3789, 0.6003, 0.7578], [0.6211, 0.8425, 0.2422], [0.6211, 0.3997, 0.2422], [0.1931, 0.1931, 0.3862], [0.3789, 0.1575, 0.7578], [0.0000, 0.5000, 0.0000], [0.5000, 0.0000, 0.0000]]}

Entry 23:
{"formula": "MgTa3Si", "functional": "PBE", "state": "optimized geometry", "total_magnetization_mub_per_cell": 0.00, "density_g_cm3": 9.69, "dos_at_fermi_per_ev_atom": 0.89, "e_above_lowest_polymorph_ev_per_atom": 1.224, "raw_formation_energy_mev_per_atom": 1958, "lattice_angstrom": [[-1.9947, 2.9416, -3.0332], [-3.0983, -3.2990, -1.1618], [-2.8730, 1.5153, 3.3589]], "species": ["Si", "Ta", "Ta", "Ta", "Mg"], "frac_coords": [[0.5000, 0.5000, 0.5000], [0.0000, 0.5000, 0.0000], [0.0000, 0.0000, 0.5000], [0.5000, 0.0000, 0.0000], [0.0000, 0.0000, 0.0000]]}

Entry 24:
{"formula": "CrRe3", "functional": "PBE", "state": "optimized geometry", "total_magnetization_mub_per_cell": 0.00, "density_g_cm3": 17.65, "dos_at_fermi_per_ev_atom": 1.00, "formation_energy_ev_per_atom": 0.13, "lattice_angstrom": [[-3.7955, -0.6231, 0.3216], [1.8928, -1.6419, -4.0049], [0.6251, -3.8088, -0.0030]], "species": ["Re", "Re", "Re", "Cr"], "frac_coords": [[0.7500, 0.5000, 0.7500], [0.2500, 0.5000, 0.2500], [0.5000, 0.0000, 0.5000], [0.0000, 0.0000, 0.0000]]}

Entry 25:
{"formula": "Tl4Tc", "functional": "PBE", "state": "optimized geometry", "total_magnetization_mub_per_cell": 0.00, "density_g_cm3": 9.81, "dos_at_fermi_per_ev_atom": 0.89, "formation_energy_ev_per_atom": 0.38, "e_above_lowest_polymorph_ev_per_atom": 0.086, "lattice_angstrom": [[5.3716, 0.0000, 0.0000], [0.0000, 5.3716, 0.0000], [0.0000, 0.0000, 5.3716]], "species": ["Tl", "Tc", "Tl", "Tl", "Tl"], "frac_coords": [[0.0000, 0.5000, 0.5000], [0.5000, 0.5000, 0.5000], [0.5000, 0.0000, 0.5000], [0.0000, 0.0000, 0.0000], [0.5000, 0.5000, 0.0000]]}